Entry P
A plane-wave DFT calculation with PBE-GGA was carried out for a relaxed Rb2TlIn crystal.

abc: 6.293 6.293 6.293
angles: 60.00 60.00 60.00
Positions (direct):
Rb1 0.250 0.250 0.250
Rb2 0.750 0.750 0.750
Tl1 0.000 0.000 0.000
In1 0.500 0.500 0.500

Output
Space group ... Fm-3m
D(E_F) ... 3.96 states/eV/f.u.

=====

Entry Q
A plane-wave DFT calculation with PBE-GGA was carried out for a relaxed Rb2TlIn crystal.

abc: 8.090 8.090 8.090
angles: 100.72 100.72 128.89
Positions (direct):
Rb1 0.123 0.625 0.998
Rb2 0.375 0.373 0.498
Rb3 0.627 0.125 0.002
Rb4 0.875 0.877 0.502
Tl1 0.000 0.000 0.000
Tl2 0.750 0.250 0.500
In1 0.250 0.750 0.500
In2 0.500 0.500 0.000

Output
Space group ... I-42d
D(E_F) ... 3.11 states/eV/f.u.

=====

Entry R
A plane-wave DFT calculation with PBE-GGA was carried out for a relaxed Rb2TlIn crystal.

abc: 7.378 7.378 11.539
angles: 116.60 116.60 41.91
Positions (direct):
Rb1 0.000 0.000 0.000
Rb2 0.001 0.001 0.497
Rb3 0.366 0.366 0.178
Rb4 0.630 0.630 0.816
Tl1 0.317 0.317 0.746
Tl2 0.682 0.682 0.254
In1 0.249 0.249 0.424
In2 0.755 0.755 0.577

Output
Space group ... Cm
D(E_F) ... 1.31 states/eV/f.u.

=====

The data favor entry R; the next most stable structure lies 176 meV/atom above it.

=====

Entry P
A plane-wave DFT calculation with PBE-GGA was carried out for a relaxed Rb2TlIn2 crystal.

abc: 8.139 8.139 6.191
angles: 90.00 90.00 90.00
Positions (direct):
Rb1 0.180 0.320 0.000
Rb2 0.320 0.820 0.000
Rb3 0.680 0.180 0.000
Rb4 0.820 0.680 0.000
Tl1 0.000 0.000 0.500
Tl2 0.500 0.500 0.500
In1 0.129 0.629 0.500
In2 0.371 0.129 0.500
In3 0.629 0.871 0.500
In4 0.871 0.371 0.500

Output
Space group ... P4/mbm
D(E_F) ... 3.50 states/eV/f.u.

=====

Entry Q
A plane-wave DFT calculation with PBE-GGA was carried out for a relaxed Rb2TlIn2 crystal.

abc: 11.093 11.093 3.439
angles: 90.00 90.00 90.00
Positions (direct):
Rb1 0.197 0.303 0.000
Rb2 0.303 0.803 0.000
Rb3 0.697 0.197 0.000
Rb4 0.803 0.697 0.000
Tl1 0.000 0.000 0.000
Tl2 0.500 0.500 0.000
In1 0.095 0.595 0.500
In2 0.405 0.095 0.500
In3 0.595 0.905 0.500
In4 0.905 0.405 0.500

Output
Space group ... P4/mbm
D(E_F) ... 2.36 states/eV/f.u.

=====

Entry R
A plane-wave DFT calculation with PBE-GGA was carried out for a relaxed Rb2TlIn2 crystal.

abc: 9.059 9.059 9.059
angles: 147.43 147.43 46.73
Positions (direct):
Rb1 0.250 0.750 0.500
Rb2 0.750 0.250 0.500
Tl1 0.000 0.000 0.000
In1 0.414 0.414 0.000
In2 0.586 0.586 0.000

Output
Space group ... I4/mmm
D(E_F) ... 4.39 states/eV/f.u.

=====

The data favor entry P; the next most stable structure lies 146 meV/atom above it.

=====

Entry P
A plane-wave DFT calculation with PBE-GGA was carried out for a relaxed RbTl4In2 crystal.

abc: 8.609 8.609 5.166
angles: 90.00 90.00 140.97
Positions (direct):
Rb1 0.000 0.000 0.000
Tl1 0.178 0.822 0.500
Tl2 0.303 0.697 0.000
Tl3 0.697 0.303 0.000
Tl4 0.822 0.178 0.500
In1 0.408 0.592 0.500
In2 0.592 0.408 0.500

Output
Space group ... Cmmm
D(E_F) ... 3.20 states/eV/f.u.

=====

Entry Q
A plane-wave DFT calculation with PBE-GGA was carried out for a relaxed RbTl4In2 crystal.

abc: 9.162 9.162 9.162
angles: 139.31 139.31 58.90
Positions (direct):
Rb1 0.000 0.000 0.000
Tl1 0.000 0.500 0.500
Tl2 0.221 0.221 0.000
Tl3 0.500 0.000 0.500
Tl4 0.779 0.779 0.000
In1 0.408 0.408 0.000
In2 0.592 0.592 0.000

Output
Space group ... I4/mmm
D(E_F) ... 6.80 states/eV/f.u.

=====

The data favor entry P; the next most stable structure lies 445 meV/atom above it.

=====

Entry P
A plane-wave DFT calculation with PBE-GGA was carried out for a relaxed Rb2Tl7In crystal.

abc: 5.302 5.302 13.017
angles: 90.00 90.00 90.00
Positions (direct):
Rb1 0.000 0.500 0.248
Rb2 0.500 0.000 0.752
Tl1 0.000 0.000 0.000
Tl2 0.000 0.000 0.500
Tl3 0.000 0.500 0.635
Tl4 0.000 0.500 0.869
Tl5 0.500 0.000 0.131
Tl6 0.500 0.000 0.365
Tl7 0.500 0.500 0.500
In1 0.500 0.500 0.000

Output
Space group ... P-4m2
D(E_F) ... 5.20 states/eV/f.u.

=====

Entry Q
A plane-wave DFT calculation with PBE-GGA was carried out for a relaxed Rb2Tl7In crystal.

abc: 8.578 8.578 8.578
angles: 60.00 60.00 60.00
Positions (direct):
Rb1 0.250 0.250 0.250
Rb2 0.750 0.750 0.750
Tl1 0.000 0.000 0.000
Tl2 0.254 0.254 0.746
Tl3 0.254 0.746 0.254
Tl4 0.254 0.746 0.746
Tl5 0.746 0.254 0.254
Tl6 0.746 0.254 0.746
Tl7 0.746 0.746 0.254
In1 0.500 0.500 0.500

Output
Space group ... Fm-3m
D(E_F) ... 8.89 states/eV/f.u.

=====

The data favor entry P; the next most stable structure lies 187 meV/atom above it.

=====

Entry P
A plane-wave DFT calculation with PBE-GGA was carried out for a relaxed RbTl4In crystal.

abc: 9.447 4.924 9.053
angles: 90.00 90.00 90.00
Positions (direct):
Rb1 0.250 0.000 0.124
Rb2 0.750 0.000 0.876
Tl1 0.000 0.000 0.500
Tl2 0.055 0.500 0.800
Tl3 0.250 0.500 0.445
Tl4 0.445 0.500 0.800
Tl5 0.500 0.000 0.500
Tl6 0.555 0.500 0.200
Tl7 0.750 0.500 0.555
Tl8 0.945 0.500 0.200
In1 0.250 0.000 0.717
In2 0.750 0.000 0.283

Output
Space group ... Pmma
D(E_F) ... 2.76 states/eV/f.u.

=====

Entry Q
A plane-wave DFT calculation with PBE-GGA was carried out for a relaxed RbTl4In crystal.

abc: 6.656 6.656 6.656
angles: 60.00 60.00 60.00
Positions (direct):
Rb1 0.000 0.000 0.000
Tl1 0.376 0.376 0.376
Tl2 0.376 0.376 0.873
Tl3 0.376 0.873 0.376
Tl4 0.873 0.376 0.376
In1 0.750 0.750 0.750

Output
Space group ... F-43m
D(E_F) ... 4.73 states/eV/f.u.

=====

The data favor entry P; the next most stable structure lies 73 meV/atom above it.

=====

Entry P
A plane-wave DFT calculation with PBE-GGA was carried out for a relaxed RbV3In crystal.

abc: 5.364 5.364 5.364
angles: 90.00 90.00 90.00
Positions (direct):
Rb1 0.000 0.000 0.000
V1 0.000 0.500 0.500
V2 0.500 0.000 0.500
V3 0.500 0.500 0.000
In1 0.500 0.500 0.500

Output
Space group ... Pm-3m
D(E_F) ... 11.52 states/eV/f.u.

=====

Entry Q
A plane-wave DFT calculation with PBE-GGA was carried out for a relaxed RbV3In crystal.

abc: 4.543 4.543 4.543
angles: 90.00 90.00 90.00
Positions (direct):
Rb1 0.000 0.000 0.000
V1 0.000 0.000 0.500
V2 0.000 0.500 0.000
V3 0.500 0.000 0.000
In1 0.500 0.500 0.500

Output
Space group ... Pm-3m
D(E_F) ... 3.80 states/eV/f.u.

=====

The data favor entry P; the next most stable structure lies 856 meV/atom above it.

=====

Entry P
A plane-wave DFT calculation with PBE-GGA was carried out for a relaxed RbIn2W crystal.

abc: 10.064 10.064 10.064
angles: 144.76 144.76 50.69
Positions (direct):
Rb1 0.375 0.625 0.750
Rb2 0.625 0.375 0.250
In1 0.000 0.000 0.000
In2 0.000 0.000 0.500
In3 0.000 0.500 0.000
In4 0.500 0.000 0.500
W1 0.125 0.875 0.250
W2 0.875 0.125 0.750

Output
Space group ... I4_1/amd
D(E_F) ... 3.84 states/eV/f.u.

=====

Entry Q
A plane-wave DFT calculation with PBE-GGA was carried out for a relaxed RbIn2W crystal.

abc: 5.299 5.299 5.299
angles: 60.00 60.00 60.00
Positions (direct):
Rb1 0.000 0.000 0.000
In1 0.250 0.250 0.250
In2 0.750 0.750 0.750
W1 0.500 0.500 0.500

Output
Space group ... Fm-3m
D(E_F) ... 2.32 states/eV/f.u.

=====

The data favor entry P; the next most stable structure lies 85 meV/atom above it.

=====

Entry P
A plane-wave DFT calculation with PBE-GGA was carried out for a relaxed RbY3In crystal.

abc: 5.494 5.494 5.494
angles: 90.00 90.00 90.00
Positions (direct):
Rb1 0.000 0.000 0.000
Y1 0.000 0.000 0.500
Y2 0.000 0.500 0.000
Y3 0.500 0.000 0.000
In1 0.500 0.500 0.500

Output
Space group ... Pm-3m
D(E_F) ... 4.04 states/eV/f.u.

=====

Entry Q
A plane-wave DFT calculation with PBE-GGA was carried out for a relaxed RbY3In crystal.

abc: 5.941 5.941 5.941
angles: 90.00 90.00 90.00
Positions (direct):
Rb1 0.000 0.000 0.000
Y1 0.000 0.500 0.500
Y2 0.500 0.000 0.500
Y3 0.500 0.500 0.000
In1 0.500 0.500 0.500

Output
Space group ... Pm-3m
D(E_F) ... 9.83 states/eV/f.u.

=====

The data favor entry Q; the next most stable structure lies 788 meV/atom above it.